5
Lattice="-1.0689 -0.7794 -4.7038 -0.6974 -4.7431 0.9444 -3.1426 0.5849 0.6172" Properties=species:S:1:pos:R:3 comment="GGA-PBE CaBeS2N, relaxed" dos_at_fermi_per_ev_cell=3.049 volume_a3_per_fu=77.73 rho_g_cm3=2.7 e_tot_ha_per_atom=-0.174 total_magnetization_mub_per_fu=0.9 e_form_raw_ev_per_atom=-0.283 e_above_lowest_polymorph_mev_per_atom=0 pbc="T T T"
Be 0.0000 0.0000 0.0000
Ca -2.4544 -2.4688 -1.5711
S -0.3487 -2.3716 0.4722
S -0.5344 -0.3897 -2.3519
N -1.5713 0.2925 0.3086

=====

5
Lattice="-0.8694 3.9716 2.8305 -2.1185 1.1634 -2.2831 -3.7178 -2.4006 2.2264" Properties=species:S:1:pos:R:3 comment="GGA-PBE Ca2BeSN, relaxed" dos_at_fermi_per_ev_cell=1.693 volume_a3_per_fu=81.59 rho_g_cm3=2.8 e_tot_ha_per_atom=-0.188 total_magnetization_mub_per_fu=0.0 e_form_raw_ev_per_atom=-1.071 pbc="T T T"
Be -1.0592 0.5817 -1.1416
Ca -1.8589 -1.2003 1.1132
Ca -0.4347 1.9858 1.4153
S -3.3528 1.3672 1.3869
N 0.0000 0.0000 0.0000

=====

5
Lattice="4.4131 0.0000 0.0000 0.0000 4.4131 0.0000 0.0000 0.0000 5.5724" Properties=species:S:1:pos:R:3 comment="GGA-PBE CaBeSN2, relaxed" dos_at_fermi_per_ev_cell=1.508 volume_a3_per_fu=108.53 rho_g_cm3=1.7 e_tot_ha_per_atom=-0.132 total_magnetization_mub_per_fu=4.2 e_form_raw_ev_per_atom=1.707 e_above_lowest_polymorph_mev_per_atom=1390 pbc="T T T"
Be 2.2066 2.2066 2.7862
Ca 0.0000 0.0000 0.0000
S 0.0000 0.0000 2.7862
N 0.0000 2.2066 0.0000
N 2.2066 0.0000 0.0000

=====

5
Lattice="-0.0628 4.1468 -3.2359 2.3274 -2.8802 -3.7361 -3.9963 -1.2508 -1.5253" Properties=species:S:1:pos:R:3 comment="GGA-PBE CaBeS2N, relaxed" dos_at_fermi_per_ev_cell=3.822 volume_a3_per_fu=123.32 rho_g_cm3=1.7 e_tot_ha_per_atom=-0.121 total_magnetization_mub_per_fu=3.1 e_form_raw_ev_per_atom=1.172 e_above_lowest_polymorph_mev_per_atom=1455 pbc="T T T"
Be -0.8659 0.0079 -4.2486
Ca 0.0000 0.0000 0.0000
S 1.1637 -1.4401 -1.8680
S -0.0314 2.0734 -1.6179
N -1.9982 -0.6254 -0.7626